# Mn3Ni4

A relaxed Mn3Ni4 crystal (PBE, the Alexandria database).

## Properties
* energy relative to the elements: 72 meV/atom
* mass density: 8.15 g/cm3
* relative energy among the computed polymorphs: 0.000 eV/atom

Cell lengths 2.7432, 2.7432, 21.6290 Å; angles 90.00, 90.00, 90.00 degrees
With the nearest neighbours (Å) after each atom.
Space group I4/mmm (No. 139)
One atom of each set of equivalent atoms:
1 Mn 0.0000 0.0000 0.0000  8 Ni 2.50, 4 Mn 2.74
2 Mn 0.0000 0.0000 0.2863  4 Ni 2.44, 4 Mn 2.50
3 Ni 0.0000 0.0000 0.1456  4 Mn 2.44, 4 Ni 2.50
4 Ni 0.0000 0.0000 0.4274  4 Mn 2.50, 8 Ni 2.50-2.74

=====

# MnNi

A relaxed MnNi crystal (PBE, the Alexandria database).

## Properties
* energy relative to the elements: 390 meV/atom
* mass density: 6.53 g/cm3

Cell lengths 3.7332, 3.7332, 4.7873 Å; angles 90.00, 90.00, 120.00 degrees
With the nearest neighbours (Å) after each atom.
Space group P6_3/mmc (No. 194)
One atom of each set of equivalent atoms:
1 Mn 0.3333 0.6667 0.2500  6 Ni 2.47
2 Ni 0.0000 0.0000 0.0000  2 Ni 2.39, 6 Mn 2.47

=====

# Mn8Ni

A relaxed Mn8Ni crystal (PBE, the Alexandria database).

## Properties
* energy relative to the elements: 68 meV/atom
* mass density: 8.08 g/cm3

Cell lengths 7.6026, 7.6026, 3.5444 Å; angles 90.00, 90.00, 90.00 degrees
With the nearest neighbours (Å) after each atom.
Space group I4/mmm (No. 139)
One atom of each set of equivalent atoms:
1 Mn 0.0000 0.3228 0.0000  1 Ni 2.45, 11 Mn 2.48-2.69
2 Mn 0.1647 0.1647 0.5000  10 Mn 2.48-2.55, 2 Ni 2.51
3 Ni 0.0000 0.0000 0.0000  12 Mn 2.45-2.51

=====

# Mn3Ni2

A relaxed Mn3Ni2 crystal (PBE, the Alexandria database).

## Properties
* energy relative to the elements: 73 meV/atom
* mass density: 7.73 g/cm3
* relative energy among the computed polymorphs: 0.000 eV/atom

Cell lengths 8.7738, 12.3695, 4.4688 Å; angles 90.00, 90.00, 90.00 degrees
With the nearest neighbours (Å) after each atom.
Space group Fdd2 (No. 43)
One atom of each set of equivalent atoms:
1 Mn 0.0000 0.0000 0.0000  6 Ni 2.45-2.66, 6 Mn 2.49-2.73
2 Mn 0.0432 0.1047 0.4691  6 Ni 2.44-2.65, 4 Mn 2.49-2.70
3 Ni 0.0287 0.2027 0.9414  9 Mn 2.44-2.66, 2 Ni 2.57

=====

# MnNi

A relaxed MnNi crystal (PBE, the Alexandria database).

## Properties
* energy relative to the elements: 32 meV/atom
* mass density: 8.61 g/cm3

Cell lengths 4.0300, 7.5665, 4.3138 Å; angles 90.00, 90.00, 90.00 degrees
With the nearest neighbours (Å) after each atom.
Space group Pmmn (No. 59, origin choice 2)
One atom of each set of equivalent atoms:
1 Mn 0.2500 0.0788 0.0797  5 Mn 2.44-2.59, 7 Ni 2.47-2.49
2 Mn 0.2500 0.2500 0.5878  8 Ni 2.48-2.51, 4 Mn 2.49-2.55
3 Ni 0.2500 0.5817 0.5814  5 Ni 2.47-2.55, 7 Mn 2.47-2.51
4 Ni 0.2500 0.7500 0.0761  8 Mn 2.48-2.49, 4 Ni 2.49-2.52

=====

# Mn4Ni5

A relaxed Mn4Ni5 crystal (PBE, the Alexandria database).

## Properties
* energy relative to the elements: 4 meV/atom
* mass density: 8.05 g/cm3
* relative energy among the computed polymorphs: 0.000 eV/atom

Cell lengths 7.6047, 7.6047, 3.6633 Å; angles 90.00, 90.00, 90.00 degrees
With the nearest neighbours (Å) after each atom.
Space group I4/mmm (No. 139)
One atom of each set of equivalent atoms:
1 Mn 0.0000 0.3226 0.0000  7 Ni 2.45-2.55, 5 Mn 2.64-2.70
2 Ni 0.0000 0.0000 0.0000  4 Mn 2.45, 8 Ni 2.55
3 Ni 0.1652 0.1652 0.5000  6 Ni 2.51-2.58, 6 Mn 2.52-2.55

=====

# Mn3Ni2

A relaxed Mn3Ni2 crystal (PBE, the Alexandria database).

## Properties
* energy relative to the elements: 75 meV/atom
* mass density: 8.67 g/cm3
* relative energy among the computed polymorphs: 0.002 eV/atom

Cell lengths 2.4711, 2.4711, 30.6682 Å; angles 90.00, 90.00, 120.00 degrees
With the nearest neighbours (Å) after each atom.
Space group R-3m (No. 166, hexagonal axes)
One atom of each set of equivalent atoms:
1 Mn 0.0000 0.0000 0.0000  6 Mn 2.47, 6 Ni 2.50
2 Mn 0.0000 0.0000 0.1980  9 Mn 2.40-2.47, 3 Ni 2.54
3 Ni 0.0000 0.0000 0.4002  6 Ni 2.47, 6 Mn 2.50-2.54

=====

# MnNi4

A relaxed MnNi4 crystal (PBE, the Alexandria database).

## Properties
* energy relative to the elements: -49 meV/atom
* mass density: 8.50 g/cm3
* relative energy among the computed polymorphs: 0.000 eV/atom

Cell lengths 5.6198, 5.6198, 3.5844 Å; angles 90.00, 90.00, 90.00 degrees
With the nearest neighbours (Å) after each atom.
Space group I4/m (No. 87)
One atom of each set of equivalent atoms:
1 Mn 0.0000 0.0000 0.0000  12 Ni 2.51-2.54
2 Ni 0.0982 0.3036 0.5000  9 Ni 2.47-2.55, 3 Mn 2.51-2.54

=====

# Mn7Ni

A relaxed Mn7Ni crystal (PBE, the Alexandria database).

## Properties
* energy relative to the elements: 83 meV/atom
* mass density: 8.55 g/cm3

Cell lengths 7.0101, 7.0101, 7.0101 Å; angles 90.00, 90.00, 90.00 degrees
With the nearest neighbours (Å) after each atom.
Space group Fm-3m (No. 225)
One atom of each set of equivalent atoms:
1 Mn 0.0000 0.0000 0.0000  12 Mn 2.48
2 Mn 0.0000 0.2500 0.2500  10 Mn 2.48, 2 Ni 2.48
3 Ni 0.0000 0.0000 0.5000  12 Mn 2.48

=====

# MnNi3

A relaxed MnNi3 crystal (PBE, the Alexandria database).

## Properties
* energy relative to the elements: -35 meV/atom
* mass density: 8.37 g/cm3

Cell lengths 5.0801, 6.9703, 2.5889 Å; angles 90.00, 90.00, 90.00 degrees
With the nearest neighbours (Å) after each atom.
Space group Cmmm (No. 65)
One atom of each set of equivalent atoms:
1 Mn 0.0000 0.0000 0.0000  10 Ni 2.51-2.54, 2 Mn 2.59
2 Ni 0.0000 0.5000 0.0000  10 Ni 2.51-2.59, 2 Mn 2.54
3 Ni 0.2500 0.2500 0.5000  4 Mn 2.51, 8 Ni 2.51-2.59

=====

# Mn3Ni

A relaxed Mn3Ni crystal (PBE, the Alexandria database).

## Properties
* energy relative to the elements: 81 meV/atom
* mass density: 8.38 g/cm3

Cell lengths 8.2805, 2.4952, 4.3514 Å; angles 90.00, 99.80, 90.00 degrees
With the nearest neighbours (Å) after each atom.
Space group C2/m (No. 12)
One atom of each set of equivalent atoms:
1 Mn 0.0000 0.0000 0.0000  8 Mn 2.49-2.51, 4 Ni 2.51
2 Mn 0.2485 0.5000 0.2515  3 Ni 2.48-2.51, 9 Mn 2.49-2.52
3 Ni 0.0000 0.5000 0.5000  10 Mn 2.48-2.51, 2 Ni 2.50

=====

# MnNi

A relaxed MnNi crystal (PBE, the Alexandria database).

## Properties
* energy relative to the elements: 140 meV/atom
* mass density: 7.62 g/cm3

Cell lengths 2.6748, 2.6748, 7.9879 Å; angles 90.00, 90.00, 120.00 degrees
With the nearest neighbours (Å) after each atom.
Space group P6_3/mmc (No. 194)
One atom of each set of equivalent atoms:
1 Mn 0.0000 0.0000 0.0000  6 Ni 2.52, 6 Mn 2.67
2 Ni 0.3333 0.6667 0.2500  6 Mn 2.52, 6 Ni 2.67

=====

# MnNi

A relaxed MnNi crystal (PBE, the Alexandria database).

## Properties
* energy relative to the elements: 93 meV/atom
* mass density: 8.77 g/cm3

Cell lengths 2.4747, 2.4747, 4.0563 Å; angles 90.00, 90.00, 120.00 degrees
With the nearest neighbours (Å) after each atom.
Space group P-6m2 (No. 187)
One atom of each set of equivalent atoms:
1 Mn 0.0000 0.0000 0.0000  6 Mn 2.47, 6 Ni 2.48
2 Ni 0.3333 0.6667 0.5000  6 Ni 2.47, 6 Mn 2.48

=====

# Mn3Ni

A relaxed Mn3Ni crystal (PBE, the Alexandria database).

## Properties
* energy relative to the elements: 15 meV/atom
* mass density: 7.95 g/cm3

Cell lengths 2.5892, 3.4813, 5.1787 Å; angles 90.00, 90.00, 90.00 degrees
With the nearest neighbours (Å) after each atom.
Space group Pmmm (No. 47)
One atom of each set of equivalent atoms:
1 Mn 0.0000 0.0000 0.0000  10 Mn 2.53-2.59, 2 Ni 2.59
2 Mn 0.5000 0.5000 0.2519  4 Ni 2.52, 8 Mn 2.53-2.61
3 Ni 0.0000 0.0000 0.5000  10 Mn 2.52-2.59, 2 Ni 2.59

=====

# Mn3Ni

A relaxed Mn3Ni crystal (PBE, the Alexandria database).

## Properties
* energy relative to the elements: 71 meV/atom
* mass density: 8.56 g/cm3

Cell lengths 2.4944, 8.0164, 4.3343 Å; angles 90.00, 90.00, 90.00 degrees
With the nearest neighbours (Å) after each atom.
Space group Imm2 (No. 44)
One atom of each set of equivalent atoms:
1 Mn 0.0000 0.0000 0.0000  8 Mn 2.46-2.49, 4 Ni 2.49-2.51
2 Mn 0.0000 0.2512 0.3320  9 Mn 2.46-2.50, 3 Ni 2.46-2.48
3 Ni 0.0000 0.5000 0.9978  10 Mn 2.46-2.51, 2 Ni 2.49

=====

# MnNi

A relaxed MnNi crystal (PBE, the Alexandria database).

## Properties
* energy relative to the elements: -32 meV/atom
* mass density: 7.61 g/cm3

Cell lengths 2.9159, 2.9159, 2.9159 Å; angles 90.00, 90.00, 90.00 degrees
With the nearest neighbours (Å) after each atom.
Space group Pm-3m (No. 221)
One atom of each set of equivalent atoms:
1 Mn 0.0000 0.0000 0.0000  8 Ni 2.53
2 Ni 0.5000 0.5000 0.5000  8 Mn 2.53

=====

# MnNi2

A relaxed MnNi2 crystal (PBE, the Alexandria database).

## Properties
* energy relative to the elements: 53 meV/atom
* mass density: 8.92 g/cm3

Cell lengths 2.4665, 12.9753, 4.0087 Å; angles 90.00, 90.00, 90.00 degrees
With the nearest neighbours (Å) after each atom.
Space group Cmcm (No. 63)
One atom of each set of equivalent atoms:
1 Mn 0.0000 0.2210 0.2500  6 Ni 2.45-2.49, 6 Mn 2.47
2 Ni 0.0000 0.1123 0.7500  4 Mn 2.45-2.49, 8 Ni 2.46-2.52
3 Ni 0.0000 0.4426 0.7500  2 Mn 2.45, 10 Ni 2.46-2.52

=====

# Mn3Ni13

A relaxed Mn3Ni13 crystal (PBE, the Alexandria database).

## Properties
* energy relative to the elements: -56 meV/atom
* mass density: 8.53 g/cm3

Cell lengths 5.0394, 5.0394, 8.2110 Å; angles 90.00, 90.00, 120.00 degrees
With the nearest neighbours (Å) after each atom.
Space group P-6m2 (No. 187)
One atom of each set of equivalent atoms:
1 Mn 0.0000 0.0000 0.0000  12 Ni 2.52-2.54
2 Mn 0.6667 0.3333 0.2474  12 Ni 2.52-2.55
3 Ni 0.0077 0.5039 0.0000  8 Ni 2.46-2.58, 4 Mn 2.52
4 Ni 0.1682 0.3364 0.2522  9 Ni 2.49-2.54, 3 Mn 2.52-2.54
5 Ni 0.3279 0.1640 0.5000  10 Ni 2.48-2.56, 2 Mn 2.55
6 Ni 0.3333 0.6667 0.5000  12 Ni 2.49-2.52

=====

# MnNi4

A relaxed MnNi4 crystal (PBE, the Alexandria database).

## Properties
* energy relative to the elements: 1268 meV/atom
* mass density: 6.71 g/cm3
* relative energy among the computed polymorphs: 1.317 eV/atom

Cell lengths 4.1548, 4.1548, 4.1548 Å; angles 90.00, 90.00, 90.00 degrees
With the nearest neighbours (Å) after each atom.
Space group Pm-3m (No. 221)
One atom of each set of equivalent atoms:
1 Mn 0.0000 0.0000 0.0000  6 Ni 2.08
2 Ni 0.0000 0.0000 0.5000  2 Mn 2.08
3 Ni 0.5000 0.5000 0.5000  12 Ni 2.94

=====

# MnNi2

A relaxed MnNi2 crystal (PBE, the Alexandria database).

## Properties
* energy relative to the elements: 178 meV/atom
* mass density: 7.80 g/cm3

Cell lengths 2.5889, 2.5889, 21.8857 Å; angles 90.00, 90.00, 90.00 degrees
With the nearest neighbours (Å) after each atom.
Space group I4_1/amd (No. 141, origin choice 2)
One atom of each set of equivalent atoms:
1 Mn 0.0000 0.2500 0.3750  8 Ni 2.50, 4 Mn 2.59
2 Ni 0.0000 0.2500 0.7970  6 Ni 2.43-2.59, 4 Mn 2.50